Computed, not measured: an optimized crystal structure of LiSm3In4Te8 at the PBE-GGA level of DFT.

Computed properties:
E_form (uncorrected): -837 meV/atom
Symmetry: R-3m (166)
Crystal system: trigonal
DOS at the Fermi energy: 0.363 states/eV per atom
M_tot: 0.00 μB per formula unit

Lattice parameters (Å, degrees): 8.9104 9.2787 8.9114 118.70 120.00 90.00
Positions (direct):
Te 0.7446 0.7336 0.4891
Te 0.2592 0.2630 0.0111
Sm 0.5000 0.5000 0.5000
Te 0.7408 0.7370 0.9889
In 0.5000 0.0000 0.5000
In 0.0000 0.0000 0.5000
Te 0.2554 0.2664 0.5109
Te 0.2481 0.7370 0.9889
Te 0.7519 0.2630 0.0111
Li 0.0000 0.5000 0.0000
In 0.0000 0.0000 0.0000
In 0.5000 0.0000 0.0000
Te 0.7518 0.2629 0.5035
Sm 0.5000 0.5000 0.0000
Sm 0.0000 0.5000 0.5000
Te 0.2482 0.7371 0.4965

=====

Computed, not measured: an optimized crystal structure of SnTeI2Br at the PBE-GGA level of DFT.

Computed properties:
E above lowest polymorph: 256 meV/atom
E_form (uncorrected): 450 meV/atom
Symmetry: P4/mmm (123)
Crystal system: tetragonal
DOS at the Fermi energy: 0.290 states/eV per atom
M_tot: 0.00 μB per formula unit

Lattice parameters (Å, degrees): 5.6816 5.6816 6.0836 90.00 90.00 90.00
Positions (direct):
I 0.5000 0.0000 0.0000
I 0.0000 0.5000 0.0000
Br 0.0000 0.0000 0.0000
Sn 0.5000 0.5000 0.5000
Te 0.0000 0.0000 0.5000

=====

Computed, not measured: an optimized crystal structure of AcHoH at the PBE-GGA level of DFT.

Computed properties:
E above lowest polymorph: 47 meV/atom
Symmetry: Cmce (64)
Crystal system: orthorhombic
DOS at the Fermi energy: 0.918 states/eV per atom
M_tot: 0.00 μB per formula unit

Lattice parameters (Å, degrees): 5.2401 12.2361 5.4183 90.00 90.00 102.36
Positions (direct):
Ac 0.3182 0.6365 0.0006
Ac 0.8182 0.6365 0.4994
Ho 0.4272 0.8544 0.4938
Ho 0.9272 0.8544 0.0062
Ac 0.1818 0.3635 0.5006
H 0.6355 0.7710 0.7500
Ho 0.0728 0.1456 0.9938
H 0.3645 0.2290 0.2500
Ho 0.5728 0.1456 0.5062
H 0.1355 0.7710 0.7500
H 0.8645 0.2290 0.2500
Ac 0.6818 0.3635 0.9994